The following is a PBE-GGA calculation of a relaxed Nd5Os2Cl3O10 crystal, from OQMD via LeMat-Bulk.

Computed properties:
The value obtained for the total magnetic moment is 0.015 μB/f.u. The space-group type is No. 12. For the mass density, the calculation gives 7.2 Mg/m³. The raw total energy comes out at -147.52 eV per cell.

Unit cell a=6.943 b=6.943 c=9.123 alpha=103.51 beta=103.51 gamma=48.34
Fractional coordinates of all 20 atoms:
Nd  0.000  0.000  0.000
Nd  0.314  0.314  0.122
Nd  0.352  0.352  0.734
Nd  0.648  0.648  0.266
Nd  0.686  0.686  0.878
Os  0.019  0.019  0.635
Os  0.981  0.981  0.365
Cl  0.199  0.199  0.398
Cl  0.500  0.500  0.500
Cl  0.801  0.801  0.602
O  0.095  0.587  0.932
O  0.167  0.167  0.699
O  0.237  0.745  0.226
O  0.255  0.763  0.774
O  0.413  0.905  0.068
O  0.587  0.095  0.932
O  0.745  0.237  0.226
O  0.763  0.255  0.774
O  0.833  0.833  0.301
O  0.905  0.413  0.068